1.
Tb12Er2Tm5: relaxed, GGA-PBE.

Properties
crystal system = monoclinic
distance to the lowest polymorph of the same formula = 6 meV/atom
DOS at the Fermi energy = 1.483 states/eV/atom
energy relative to the elements = 0.13 eV per atom

The structure in CIF format:
```
data_Tb12Er2Tm5
_chemical_formula_sum 'Tb24 Er4 Tm10'
_cell_length_a 15.651
_cell_length_b 9.116
_cell_length_c 8.481
_cell_angle_alpha 90.00
_cell_angle_beta 91.03
_cell_angle_gamma 90.00
_symmetry_space_group_name_H-M 'C 1 2/m 1'
_symmetry_Int_Tables_number 12
loop_
_symmetry_equiv_pos_as_xyz
'x,y,z'
'-x,-y,-z'
'-x,y,-z'
'x,-y,z'
'x+1/2,y+1/2,z'
'-x+1/2,-y+1/2,-z'
'-x+1/2,y+1/2,-z'
'x+1/2,-y+1/2,z'
loop_
_atom_site_label
_atom_site_type_symbol
_atom_site_fract_x
_atom_site_fract_y
_atom_site_fract_z
Tb1 Tb 0.059 0.000 0.337
Tb2 Tb 0.091 0.500 0.885
Tb3 Tb 0.127 0.194 0.665
Tb4 Tb 0.155 0.318 0.241
Er1 Er 0.000 0.176 0.000
Tm1 Tm 0.000 0.500 0.500
Tm2 Tm 0.198 0.000 0.014
Tm3 Tm 0.232 0.500 0.572
```


2.
Tb5Er3Tm: relaxed, GGA-PBE.

Properties
crystal system = monoclinic
distance to the lowest polymorph of the same formula = 0 meV/atom
DOS at the Fermi energy = 1.622 states/eV/atom
energy relative to the elements = 0.11 eV per atom

The structure in CIF format:
```
data_Tb5Er3Tm
_chemical_formula_sum 'Tb20 Er12 Tm4'
_cell_length_a 16.324
_cell_length_b 10.248
_cell_length_c 6.945
_cell_angle_alpha 90.00
_cell_angle_beta 102.30
_cell_angle_gamma 90.00
_symmetry_space_group_name_H-M 'C 1 2/c 1'
_symmetry_Int_Tables_number 15
loop_
_symmetry_equiv_pos_as_xyz
'x,y,z'
'-x,-y,-z'
'-x,y,-z+1/2'
'x,-y,z+1/2'
'x+1/2,y+1/2,z'
'-x+1/2,-y+1/2,-z'
'-x+1/2,y+1/2,-z+1/2'
'x+1/2,-y+1/2,z+1/2'
loop_
_atom_site_label
_atom_site_type_symbol
_atom_site_fract_x
_atom_site_fract_y
_atom_site_fract_z
Tb1 Tb 0.000 0.186 0.250
Tb2 Tb 0.178 0.333 0.589
Tb3 Tb 0.178 0.334 0.089
Er1 Er 0.000 0.500 0.000
Er2 Er 0.157 0.000 0.078
Tm1 Tm 0.000 0.186 0.750
```


3.
Tb2Er4Tm3: relaxed, GGA-PBE.

Properties
crystal system = monoclinic
DOS at the Fermi energy = 1.420 states/eV/atom
energy relative to the elements = 0.10 eV per atom

The structure in CIF format:
```
data_Tb2Er4Tm3
_chemical_formula_sum 'Tb8 Er16 Tm12'
_cell_length_a 15.891
_cell_length_b 11.454
_cell_length_c 6.068
_cell_angle_alpha 90.00
_cell_angle_beta 95.82
_cell_angle_gamma 90.00
_symmetry_space_group_name_H-M 'C 1 2/c 1'
_symmetry_Int_Tables_number 15
loop_
_symmetry_equiv_pos_as_xyz
'x,y,z'
'-x,-y,-z'
'-x,y,-z+1/2'
'x,-y,z+1/2'
'x+1/2,y+1/2,z'
'-x+1/2,-y+1/2,-z'
'-x+1/2,y+1/2,-z+1/2'
'x+1/2,-y+1/2,z+1/2'
loop_
_atom_site_label
_atom_site_type_symbol
_atom_site_fract_x
_atom_site_fract_y
_atom_site_fract_z
Tb1 Tb 0.121 0.144 0.321
Er1 Er 0.047 0.358 0.014
Er2 Er 0.214 0.141 0.847
Tm1 Tm 0.000 0.096 0.750
Tm2 Tm 0.166 0.403 0.588
```


4.
TbEr2Tm7: relaxed, GGA-PBE.

Properties
crystal system = monoclinic
distance to the lowest polymorph of the same formula = 0 meV/atom
DOS at the Fermi energy = 1.763 states/eV/atom
energy relative to the elements = 0.05 eV per atom

The structure in CIF format:
```
data_TbEr2Tm7
_chemical_formula_sum 'Tb2 Er4 Tm14'
_cell_length_a 17.802
_cell_length_b 5.336
_cell_length_c 6.918
_cell_angle_alpha 90.00
_cell_angle_beta 112.80
_cell_angle_gamma 90.00
_symmetry_space_group_name_H-M 'C 1 2/m 1'
_symmetry_Int_Tables_number 12
loop_
_symmetry_equiv_pos_as_xyz
'x,y,z'
'-x,-y,-z'
'-x,y,-z'
'x,-y,z'
'x+1/2,y+1/2,z'
'-x+1/2,-y+1/2,-z'
'-x+1/2,y+1/2,-z'
'x+1/2,-y+1/2,z'
loop_
_atom_site_label
_atom_site_type_symbol
_atom_site_fract_x
_atom_site_fract_y
_atom_site_fract_z
Tb1 Tb 0.000 0.000 0.000
Er1 Er 0.199 0.000 0.700
Tm1 Tm 0.000 0.000 0.500
Tm2 Tm 0.110 0.500 0.361
Tm3 Tm 0.110 0.500 0.859
Tm4 Tm 0.200 0.000 0.201
```


5.
Tb6ErTm: relaxed, GGA-PBE.

Properties
crystal system = tetragonal
distance to the lowest polymorph of the same formula = 0 meV/atom
DOS at the Fermi energy = 1.470 states/eV/atom
energy relative to the elements = 0.02 eV per atom

The structure in CIF format:
```
data_Tb6ErTm
_chemical_formula_sum 'Tb6 Er1 Tm1'
_cell_length_a 5.004
_cell_length_b 5.004
_cell_length_c 10.008
_cell_angle_alpha 90.00
_cell_angle_beta 90.00
_cell_angle_gamma 90.00
_symmetry_space_group_name_H-M 'P 4/m m m'
_symmetry_Int_Tables_number 123
_symmetry_space_group_name_Hall '-P 4 2'
loop_
_atom_site_label
_atom_site_type_symbol
_atom_site_fract_x
_atom_site_fract_y
_atom_site_fract_z
Tb1 Tb 0.000 0.000 0.000
Tb2 Tb 0.000 0.000 0.500
Tb3 Tb 0.000 0.500 0.250
Er1 Er 0.500 0.500 0.000
Tm1 Tm 0.500 0.500 0.500
```


6.
Tb4Er4Tm5: relaxed, GGA-PBE.

Properties
crystal system = tetragonal
DOS at the Fermi energy = 1.351 states/eV/atom
energy relative to the elements = 0.02 eV per atom

The structure in CIF format:
```
data_Tb4Er4Tm5
_chemical_formula_sum 'Tb8 Er8 Tm10'
_cell_length_a 12.653
_cell_length_b 12.653
_cell_length_c 4.955
_cell_angle_alpha 90.00
_cell_angle_beta 90.00
_cell_angle_gamma 90.00
_symmetry_space_group_name_H-M 'I 4/m'
_symmetry_Int_Tables_number 87
_symmetry_space_group_name_Hall '-I 4'
loop_
_atom_site_label
_atom_site_type_symbol
_atom_site_fract_x
_atom_site_fract_y
_atom_site_fract_z
Tb1 Tb 0.153 0.230 0.000
Er1 Er 0.077 0.615 0.000
Tm1 Tm 0.000 0.000 0.000
Tm2 Tm 0.038 0.808 0.500
```